1.
Material: Sr2Ir
Method: DFT, meta-GGA SCAN
State: PBEsol geometry

Values from the calculation:
calculated total energy	-463.5	eV per cell
energy of formation	-0.07	eV/atom
calculated density	6.4	g/cm³
density of states at the Fermi level	6.168	states/eV per cell

Unit cell a=3.576 b=3.576 c=29.986 alpha=90.00 beta=90.00 gamma=90.00
Space group I4_1/amd (No. 141, origin choice 2)
Asymmetric unit:
Sr: 0.000 0.250 0.317 (multiplicity 8)
Ir: 0.000 0.250 0.875 (multiplicity 4)

2.
Material: SrIr3
Method: DFT, meta-GGA SCAN
State: PBEsol geometry

Values from the calculation:
calculated total energy	-468.0	eV per cell
energy of formation	0.40	eV/atom
calculated density	16.8	g/cm³
density of states at the Fermi level	6.215	states/eV per cell

Unit cell a=5.779 b=8.168 c=2.785 alpha=90.00 beta=90.00 gamma=90.00
Space group Cmmm (No. 65)
Asymmetric unit:
Sr: 0.000 0.000 0.000 (multiplicity 2)
Ir: 0.000 0.500 0.000 (multiplicity 2)
Ir: 0.250 0.250 0.500 (multiplicity 4)

3.
Material: Sr5Ir
Method: DFT, meta-GGA SCAN
State: PBEsol geometry

Values from the calculation:
calculated total energy	-182.3	eV per cell
energy of formation	0.03	eV/atom
offset from the most stable computed form	0.063	eV per atom
calculated density	4.4	g/cm³
density of states at the Fermi level	5.239	states/eV per cell

Unit cell a=3.780 b=3.780 c=16.639 alpha=90.00 beta=90.00 gamma=90.00
Space group P4/mmm (No. 123)
Asymmetric unit:
Sr: 0.000 0.000 0.000 (multiplicity 1)
Sr: 0.000 0.000 0.402 (multiplicity 2)
Sr: 0.500 0.500 0.196 (multiplicity 2)
Ir: 0.500 0.500 0.500 (multiplicity 1)

4.
Material: SrIr3
Method: DFT, meta-GGA SCAN
State: PBEsol geometry

Values from the calculation:
calculated total energy	-234.6	eV per cell
energy of formation	0.25	eV/atom
calculated density	16.2	g/cm³
density of states at the Fermi level	3.122	states/eV per cell

Unit cell a=2.851 b=2.851 c=8.383 alpha=90.00 beta=90.00 gamma=90.00
Space group P4/mmm (No. 123)
Asymmetric unit:
Sr: 0.000 0.000 0.000 (multiplicity 1)
Ir: 0.000 0.000 0.500 (multiplicity 1)
Ir: 0.500 0.500 0.293 (multiplicity 2)

5.
Material: SrTa2Ir
Method: DFT, meta-GGA SCAN
State: PBEsol geometry

Values from the calculation:
calculated total energy	-447.0	eV per cell
energy of formation	0.76	eV/atom
offset from the most stable computed form	0.566	eV per atom
calculated density	14.1	g/cm³
density of states at the Fermi level	6.592	states/eV per cell

Unit cell a=5.492 b=9.723 c=2.831 alpha=90.00 beta=90.00 gamma=90.00
Space group Cmmm (No. 65)
Asymmetric unit:
Sr: 0.000 0.000 0.000 (multiplicity 2)
Ta: 0.250 0.250 0.500 (multiplicity 4)
Ir: 0.000 0.500 0.000 (multiplicity 2)

6.
Material: Sr2TaIr
Method: DFT, meta-GGA SCAN
State: PBEsol geometry

Values from the calculation:
calculated total energy	-364.1	eV per cell
energy of formation	0.05	eV/atom
calculated density	7.5	g/cm³
density of states at the Fermi level	10.260	states/eV per cell

Unit cell a=3.446 b=3.890 c=18.106 alpha=90.00 beta=90.00 gamma=90.00
Space group Immm (No. 71)
Asymmetric unit:
Sr: 0.000 0.000 0.150 (multiplicity 4)
Ta: 0.000 0.500 0.000 (multiplicity 2)
Ir: 0.000 0.500 0.500 (multiplicity 2)

7.
Material: SrTaIr2
Method: DFT, meta-GGA SCAN
State: PBEsol geometry

Values from the calculation:
calculated total energy	-915.7	eV per cell
energy of formation	0.53	eV/atom
calculated density	15.7	g/cm³
density of states at the Fermi level	17.305	states/eV per cell

Unit cell a=6.518 b=6.518 c=6.518 alpha=90.00 beta=90.00 gamma=90.00
Space group F-43m (No. 216)
Asymmetric unit:
Sr: 0.000 0.000 0.000 (multiplicity 4)
Ta: 0.250 0.250 0.250 (multiplicity 4)
Ir: 0.000 0.000 0.500 (multiplicity 4)
Ir: 0.250 0.250 0.750 (multiplicity 4)

8.
Material: SrTa2Ir
Method: DFT, meta-GGA SCAN
State: PBEsol geometry

Values from the calculation:
calculated total energy	-451.5	eV per cell
energy of formation	0.19	eV/atom
offset from the most stable computed form	0.000	eV per atom
calculated density	12.9	g/cm³
density of states at the Fermi level	6.984	states/eV per cell

Unit cell a=11.626 b=2.954 c=5.130 alpha=90.00 beta=110.36 gamma=90.00
Space group C2/m (No. 12)
Asymmetric unit:
Sr: 0.000 0.000 0.000 (multiplicity 2)
Ta: 0.205 0.000 0.685 (multiplicity 4)
Ir: 0.000 0.500 0.500 (multiplicity 2)

9.
Material: SrTa2Ir2
Method: DFT, meta-GGA SCAN
State: PBEsol geometry

Values from the calculation:
calculated total energy	-601.8	eV per cell
energy of formation	-0.65	eV/atom
calculated density	13.3	g/cm³
density of states at the Fermi level	4.477	states/eV per cell

Unit cell a=4.443 b=4.443 c=10.546 alpha=90.00 beta=90.00 gamma=90.00
Space group I4/mmm (No. 139)
Asymmetric unit:
Sr: 0.000 0.000 0.000 (multiplicity 2)
Ta: 0.000 0.500 0.250 (multiplicity 4)
Ir: 0.000 0.000 0.373 (multiplicity 4)

10.
Material: SrTa4Ir
Method: DFT, meta-GGA SCAN
State: PBEsol geometry

Values from the calculation:
calculated total energy	-1425.0	eV per cell
energy of formation	0.58	eV/atom
calculated density	14.2	g/cm³
density of states at the Fermi level	24.247	states/eV per cell

Unit cell a=7.765 b=7.765 c=7.765 alpha=90.00 beta=90.00 gamma=90.00
Space group F-43m (No. 216)
Asymmetric unit:
Sr: 0.000 0.000 0.000 (multiplicity 4)
Ta: 0.125 0.125 0.375 (multiplicity 16)
Ir: 0.250 0.250 0.750 (multiplicity 4)

11.
Material: SrTa2Ir
Method: DFT, meta-GGA SCAN
State: PBEsol geometry

Values from the calculation:
calculated total energy	-450.3	eV per cell
energy of formation	0.35	eV/atom
offset from the most stable computed form	0.156	eV per atom
calculated density	12.1	g/cm³
density of states at the Fermi level	8.898	states/eV per cell

Unit cell a=9.955 b=3.032 c=6.019 alpha=90.00 beta=103.64 gamma=90.00
Space group Cm (No. 8)
Asymmetric unit:
Sr: 0.000 0.000 0.000 (multiplicity 2)
Ta: 0.202 0.000 0.637 (multiplicity 2)
Ta: 0.471 0.000 0.474 (multiplicity 2)
Ir: 0.257 0.500 0.317 (multiplicity 2)

12.
Material: SrTcIr2
Method: DFT, meta-GGA SCAN
State: PBEsol geometry

Values from the calculation:
calculated total energy	-786.9	eV per cell
energy of formation	0.70	eV/atom
offset from the most stable computed form	0.589	eV per atom
calculated density	13.6	g/cm³
density of states at the Fermi level	12.393	states/eV per cell

Unit cell a=6.525 b=6.525 c=6.525 alpha=90.00 beta=90.00 gamma=90.00
Space group Fm-3m (No. 225)
Asymmetric unit:
Sr: 0.000 0.000 0.000 (multiplicity 4)
Tc: 0.000 0.000 0.500 (multiplicity 4)
Ir: 0.250 0.250 0.250 (multiplicity 8)

13.
Material: SrTcIr2
Method: DFT, meta-GGA SCAN
State: PBEsol geometry

Values from the calculation:
calculated total energy	-396.6	eV per cell
energy of formation	0.31	eV/atom
offset from the most stable computed form	0.196	eV per atom
calculated density	12.4	g/cm³
density of states at the Fermi level	7.799	states/eV per cell

Unit cell a=8.587 b=2.773 c=6.478 alpha=90.00 beta=97.41 gamma=90.00
Space group C2/m (No. 12)
Asymmetric unit:
Sr: 0.000 0.000 0.000 (multiplicity 2)
Tc: 0.000 0.500 0.500 (multiplicity 2)
Ir: 0.242 0.000 0.667 (multiplicity 4)

14.
Material: SrTcIr2
Method: DFT, meta-GGA SCAN
State: PBEsol geometry

Values from the calculation:
calculated total energy	-199.1	eV per cell
energy of formation	0.11	eV/atom
offset from the most stable computed form	0.000	eV per atom
calculated density	13.1	g/cm³
density of states at the Fermi level	3.734	states/eV per cell

Unit cell a=2.808 b=3.503 c=7.358 alpha=90.00 beta=90.00 gamma=90.00
Space group Pmmm (No. 47)
Asymmetric unit:
Sr: 0.000 0.000 0.000 (multiplicity 1)
Tc: 0.000 0.000 0.500 (multiplicity 1)
Ir: 0.500 0.500 0.314 (multiplicity 2)